VASP calculation (PBE) on a geometry-optimized FeBr2N structure.

Unit cell a=5.5913 b=5.5913 c=10.0203 alpha=90.00 beta=90.00 gamma=90.00
With the nearest neighbours (Å) after each atom.
Fractional positions:
Fe (0.0000, 0.0000, 0.0000)  4 Br 2.28
Fe (0.0000, 0.5000, 0.2500)  4 Br 2.28
Fe (0.5000, 0.0000, 0.7500)  4 Br 2.28
Fe (0.5000, 0.5000, 0.5000)  4 Br 2.28
Br (0.2303, 0.2500, 0.1250)  2 Fe 2.28, 2 N 2.41
Br (0.2500, 0.7303, 0.3750)  2 Fe 2.28, 2 N 2.41
Br (0.2500, 0.7697, 0.8750)  2 Fe 2.28, 2 N 2.41
Br (0.2697, 0.2500, 0.6250)  2 Fe 2.28, 2 N 2.41
Br (0.7303, 0.7500, 0.6250)  2 Fe 2.28, 2 N 2.41
Br (0.7500, 0.2303, 0.8750)  2 Fe 2.28, 2 N 2.41
Br (0.7500, 0.2697, 0.3750)  2 Fe 2.28, 2 N 2.41
Br (0.7697, 0.7500, 0.1250)  2 Fe 2.28, 2 N 2.41
N (0.0000, 0.0000, 0.5000)  4 Br 2.41
N (0.0000, 0.5000, 0.7500)  4 Br 2.41
N (0.5000, 0.0000, 0.2500)  4 Br 2.41
N (0.5000, 0.5000, 0.0000)  4 Br 2.41

Results
Distance to the lowest polymorph of the same formula = 0.469 eV/atom
E_tot = -57.21 eV/cell

=====

VASP calculation (PBE) on a geometry-optimized FeBr2N structure.

Unit cell a=6.7055 b=6.7055 c=6.7055 alpha=90.00 beta=90.00 gamma=90.00
With the nearest neighbours (Å) after each atom.
Fractional positions:
Fe (0.0000, 0.0000, 0.0000)  8 Br 2.90
Fe (0.0000, 0.5000, 0.5000)  8 Br 2.90
Fe (0.5000, 0.0000, 0.5000)  8 Br 2.90
Fe (0.5000, 0.5000, 0.0000)  8 Br 2.90
Br (0.2500, 0.2500, 0.2500)  4 Fe 2.90, 4 N 2.90
Br (0.2500, 0.2500, 0.7500)  4 Fe 2.90, 4 N 2.90
Br (0.2500, 0.7500, 0.2500)  4 Fe 2.90, 4 N 2.90
Br (0.2500, 0.7500, 0.7500)  4 Fe 2.90, 4 N 2.90
Br (0.7500, 0.2500, 0.2500)  4 Fe 2.90, 4 N 2.90
Br (0.7500, 0.2500, 0.7500)  4 Fe 2.90, 4 N 2.90
Br (0.7500, 0.7500, 0.2500)  4 Fe 2.90, 4 N 2.90
Br (0.7500, 0.7500, 0.7500)  4 N 2.90, 4 Fe 2.90
N (0.0000, 0.0000, 0.5000)  8 Br 2.90
N (0.0000, 0.5000, 0.0000)  8 Br 2.90
N (0.5000, 0.0000, 0.0000)  8 Br 2.90
N (0.5000, 0.5000, 0.5000)  8 Br 2.90

Results
Distance to the lowest polymorph of the same formula = 0.379 eV/atom
E_tot = -58.65 eV/cell

=====

VASP calculation (PBE) on a geometry-optimized NaFe2BrN structure.

Unit cell a=3.7019 b=3.7019 c=7.8876 alpha=90.00 beta=90.00 gamma=90.00
With the nearest neighbours (Å) after each atom.
Fractional positions:
Na (0.0000, 0.0000, 0.0000)  4 Br 2.62
Fe (0.0000, 0.5000, 0.5000)  2 N 1.85
Fe (0.5000, 0.0000, 0.5000)  2 N 1.85
Br (0.5000, 0.5000, 0.0000)  4 Na 2.62
N (0.5000, 0.5000, 0.5000)  4 Fe 1.85

Results
E_tot = -28.77 eV/cell

=====

VASP calculation (PBE) on a geometry-optimized Fe2NiBrN structure.

Unit cell a=3.5813 b=3.5813 c=6.1555 alpha=90.00 beta=90.00 gamma=90.00
With the nearest neighbours (Å) after each atom.
Fractional positions:
Fe (0.0000, 0.5000, 0.0000)  2 N 1.79
Fe (0.5000, 0.0000, 0.0000)  2 N 1.79
Ni (0.0000, 0.0000, 0.5000)  4 Br 2.53
Br (0.5000, 0.5000, 0.5000)  4 Ni 2.53
N (0.5000, 0.5000, 0.0000)  4 Fe 1.79

Results
E_tot = -30.38 eV/cell

=====

no.,V (Å³ per atom),formation energy without anion corrections (eV per atom)
1,19.58,1.46
2,18.84,1.37
3,21.62,-0.10
4,15.79,0.46